This record from Alexandria via LeMat-Bulk describes crystalline Dy5Er4Tm at its relaxed geometry. The functional is GGA-PBE.

```
Dy5Er4Tm
1.0
3.524 0.000 0.000
1.745 6.481 0.000
0.046 1.838 13.622
Dy Er Tm
5 4 1
Direct
0.000 0.000 0.000
0.038 0.916 0.383
0.317 0.374 0.415
0.683 0.626 0.585
0.962 0.084 0.617
0.316 0.331 0.791
0.378 0.202 0.192
0.622 0.798 0.808
0.684 0.669 0.209
0.500 0.500 0.000
```

Values from the calculation:
Theoretical density   8.81 g cm⁻³
E   -0.332 Ry per atom
Space-group type   P-1 (2)
Calculated volume   311.1 Å³ per cell